No. 1
Density functional theory data (PBE) for crystalline Cr2MoIr at its relaxed geometry.

abc: 4.035 2.673 5.253
angles: 73.70 90.00 90.00
Positions (direct):
Cr (0.500, 0.196, 0.227)
Ir (0.000, 0.440, 0.489)
Cr (0.000, 0.077, 0.027)
Mo (0.500, 0.788, 0.757)

Values from the calculation:
Total magnetization ... 0.00 μB/f.u.
V ... 13.6 A^3/atom
DFT formation energy ... 10.6 kJ/mol of formula units
Density ... 11.98 Mg/m³


No. 2
Density functional theory data (PBE) for crystalline CrMoIr2 at its relaxed geometry.

abc: 4.728 4.728 4.728
angles: 132.07 132.08 70.11
Site moments in Bohr magnetons follow the coordinates.
Positions (direct):
Ir (0.750, 0.250, 0.500)  0.01
Ir (0.000, 0.000, 0.000)  -0.09
Cr (0.250, 0.750, 0.500)  1.30
Mo (0.500, 0.500, 0.000)  -0.19

Values from the calculation:
Total magnetization ... 1.10 μB/f.u.
V ... 14.3 A^3/atom
DFT formation energy ... -61.7 kJ/mol of formula units
Density ... 15.48 Mg/m³


No. 3
Density functional theory data (PBE) for crystalline CrMoIr at its relaxed geometry.

abc: 5.026 5.026 5.026
angles: 144.40 144.40 51.24
Positions (direct):
Ir (0.337, 0.337, 0.000)
Cr (0.012, 0.012, 0.000)
Mo (0.651, 0.651, 0.000)

Values from the calculation:
Total magnetization ... 0.00 μB/f.u.
V ... 14.3 A^3/atom
DFT formation energy ... 38.2 kJ/mol of formula units
Density ... 13.19 Mg/m³


No. 4
Density functional theory data (PBE) for crystalline CrMoIr at its relaxed geometry.

abc: 4.753 4.753 4.753
angles: 147.04 132.80 58.77
Positions (direct):
Mo (0.665, 0.665, 0.000)
Ir (0.340, 0.340, 0.000)
Cr (0.995, 0.995, 0.000)

Values from the calculation:
Total magnetization ... 0.00 μB/f.u.
V ... 14.2 A^3/atom
DFT formation energy ... -0.2 kJ/mol of formula units
Density ... 13.29 Mg/m³


Asked for Fermi-level density of states across the records above, the calculation gives 4.54, 3.90, 3.86, 3.54 states/eV/cell in order.